1.
# CuRh2Br2 | Alexandria | PBE | relaxed
# ΔE_f (raw) = 0.552 eV/atom
# Symmetry = I4/mmm (139)
# Size of the total moment = 0.0 μB per formula unit
data_CuRh2Br2
_chemical_formula_sum 'Cu2 Rh4 Br4'
_symmetry_space_group_name_H-M 'P 1'
_symmetry_Int_Tables_number 1
_symmetry_space_group_name_Hall 'P 1'
_cell_length_a 5.0251
_cell_length_b 5.0251
_cell_length_c 7.7619
_cell_angle_alpha 90.00
_cell_angle_beta 90.00
_cell_angle_gamma 90.00
loop_
_atom_site_label
_atom_site_type_symbol
_atom_site_fract_x
_atom_site_fract_y
_atom_site_fract_z
Cu1 Cu 0.0000 0.0000 0.0000
Cu2 Cu 0.5000 0.5000 0.5000
Rh1 Rh 0.0000 0.0000 0.3246
Rh2 Rh 0.0000 0.0000 0.6754
Rh3 Rh 0.5000 0.5000 0.1754
Rh4 Rh 0.5000 0.5000 0.8246
Br1 Br 0.0000 0.5000 0.2500
Br2 Br 0.0000 0.5000 0.7500
Br3 Br 0.5000 0.0000 0.2500
Br4 Br 0.5000 0.0000 0.7500

***

2.
# Sm3Ga4Cu4 | Alexandria | PBE | relaxed
# Symmetry = Immm (71)
# Energy relative to the elements = -0.4231 eV per atom
# Size of the total moment = 0.0 μB per formula unit
data_Sm3Ga4Cu4
_chemical_formula_sum 'Sm3 Ga4 Cu4'
_symmetry_space_group_name_H-M 'P 1'
_symmetry_Int_Tables_number 1
_symmetry_space_group_name_Hall 'P 1'
_cell_length_a 8.1502
_cell_length_b 8.1502
_cell_length_c 8.1502
_cell_angle_alpha 149.29
_cell_angle_beta 130.22
_cell_angle_gamma 59.63
loop_
_atom_site_label
_atom_site_type_symbol
_atom_site_fract_x
_atom_site_fract_y
_atom_site_fract_z
Sm1 Sm 0.0000 0.0000 0.0000
Sm2 Sm 0.3671 0.8671 0.5000
Sm3 Sm 0.6329 0.1329 0.5000
Ga1 Ga 0.2171 0.2171 0.0000
Ga2 Ga 0.3146 0.5000 0.8146
Ga3 Ga 0.6854 0.5000 0.1854
Ga4 Ga 0.7829 0.7829 0.0000
Cu1 Cu 0.0171 0.3309 0.6862
Cu2 Cu 0.3553 0.6691 0.6862
Cu3 Cu 0.6447 0.3309 0.3138
Cu4 Cu 0.9829 0.6691 0.3138

***

3.
# CePuZrN3 | Alexandria | PBE | relaxed
# ΔE_f (raw) = -1.113 eV/atom
# Symmetry = P2_1/m (11)
# Size of the total moment = 0.3 μB per formula unit
data_CePuZrN3
_chemical_formula_sum 'Ce2 Pu2 Zr2 N6'
_symmetry_space_group_name_H-M 'P 1'
_symmetry_Int_Tables_number 1
_symmetry_space_group_name_Hall 'P 1'
_cell_length_a 6.9661
_cell_length_b 3.2400
_cell_length_c 7.9911
_cell_angle_alpha 90.00
_cell_angle_beta 93.24
_cell_angle_gamma 90.00
loop_
_atom_site_label
_atom_site_type_symbol
_atom_site_fract_x
_atom_site_fract_y
_atom_site_fract_z
Ce1 Ce 0.1420 0.2500 0.1611
Ce2 Ce 0.8580 0.7500 0.8389
Pu1 Pu 0.1208 0.2500 0.5423
Pu2 Pu 0.8792 0.7500 0.4577
Zr1 Zr 0.3770 0.7500 0.8468
Zr2 Zr 0.6230 0.2500 0.1532
N1 N 0.1361 0.2500 0.8493
N2 N 0.3159 0.7500 0.5839
N3 N 0.3929 0.7500 0.1303
N4 N 0.6071 0.2500 0.8697
N5 N 0.6841 0.2500 0.4161
N6 N 0.8639 0.7500 0.1507

***

4.
# Cs8HgSb2 | Alexandria | PBE | relaxed
# ΔE_f (raw) = -0.261 eV/atom
# Symmetry = Immm (71)
# Size of the total moment = 0.0 μB per formula unit
data_Cs8HgSb2
_chemical_formula_sum 'Cs8 Hg1 Sb2'
_symmetry_space_group_name_H-M 'P 1'
_symmetry_Int_Tables_number 1
_symmetry_space_group_name_Hall 'P 1'
_cell_length_a 11.4488
_cell_length_b 11.4488
_cell_length_c 11.4488
_cell_angle_alpha 147.03
_cell_angle_beta 129.99
_cell_angle_gamma 61.21
loop_
_atom_site_label
_atom_site_type_symbol
_atom_site_fract_x
_atom_site_fract_y
_atom_site_fract_z
Cs1 Cs 0.1206 0.3480 0.7726
Cs2 Cs 0.1807 0.1807 0.0000
Cs3 Cs 0.2952 0.0000 0.2952
Cs4 Cs 0.4247 0.6520 0.7726
Cs5 Cs 0.5753 0.3480 0.2274
Cs6 Cs 0.7048 0.0000 0.7048
Cs7 Cs 0.8193 0.8193 0.0000
Cs8 Cs 0.8794 0.6520 0.2274
Hg1 Hg 0.0000 0.5000 0.5000
Sb1 Sb 0.3121 0.8121 0.5000
Sb2 Sb 0.6879 0.1879 0.5000

***

5.
# La4Rh2Au | Alexandria | PBE | relaxed
# Symmetry = I-42d (122)
# Energy relative to the elements = -0.7128 eV per atom
# Size of the total moment = 0.0 μB per formula unit
data_La4Rh2Au
_chemical_formula_sum 'La8 Rh4 Au2'
_symmetry_space_group_name_H-M 'P 1'
_symmetry_Int_Tables_number 1
_symmetry_space_group_name_Hall 'P 1'
_cell_length_a 7.9294
_cell_length_b 7.9294
_cell_length_c 7.9294
_cell_angle_alpha 108.44
_cell_angle_beta 108.44
_cell_angle_gamma 111.55
loop_
_atom_site_label
_atom_site_type_symbol
_atom_site_fract_x
_atom_site_fract_y
_atom_site_fract_z
La1 La 0.0144 0.7684 0.1259
La2 La 0.1075 0.4816 0.7461
La3 La 0.1114 0.9856 0.7539
La4 La 0.2316 0.3575 0.2461
La5 La 0.5184 0.2644 0.6259
La6 La 0.6386 0.8925 0.3741
La7 La 0.6425 0.8886 0.8741
La8 La 0.7356 0.3614 0.2539
Rh1 Rh 0.0074 0.1250 0.3824
Rh2 Rh 0.3750 0.9926 0.1176
Rh3 Rh 0.7426 0.6250 0.6176
Rh4 Rh 0.8750 0.2574 0.8824
Au1 Au 0.2500 0.7500 0.5000
Au2 Au 0.5000 0.5000 0.0000

***

6.
# TlSn2Os | Alexandria | PBE | relaxed
# Symmetry = Fm-3m (225)
# Energy relative to the elements = 0.6977 eV per atom
# Size of the total moment = 0.0 μB per formula unit
# Energy relative to the lowest polymorph listed for this composition = 0.039 eV per atom
data_TlSn2Os
_chemical_formula_sum 'Tl4 Sn8 Os4'
_symmetry_space_group_name_H-M 'P 1'
_symmetry_Int_Tables_number 1
_symmetry_space_group_name_Hall 'P 1'
_cell_length_a 7.0524
_cell_length_b 7.0524
_cell_length_c 7.0524
_cell_angle_alpha 90.00
_cell_angle_beta 90.00
_cell_angle_gamma 90.00
loop_
_atom_site_label
_atom_site_type_symbol
_atom_site_fract_x
_atom_site_fract_y
_atom_site_fract_z
Tl1 Tl 0.0000 0.0000 0.0000
Tl2 Tl 0.0000 0.5000 0.5000
Tl3 Tl 0.5000 0.0000 0.5000
Tl4 Tl 0.5000 0.5000 0.0000
Sn1 Sn 0.2500 0.2500 0.2500
Sn2 Sn 0.2500 0.2500 0.7500
Sn3 Sn 0.2500 0.7500 0.2500
Sn4 Sn 0.2500 0.7500 0.7500
Sn5 Sn 0.7500 0.2500 0.2500
Sn6 Sn 0.7500 0.2500 0.7500
Sn7 Sn 0.7500 0.7500 0.2500
Sn8 Sn 0.7500 0.7500 0.7500
Os1 Os 0.0000 0.0000 0.5000
Os2 Os 0.0000 0.5000 0.0000
Os3 Os 0.5000 0.0000 0.0000
Os4 Os 0.5000 0.5000 0.5000

***

7.
# Li2TcCl | Alexandria | PBE | relaxed
# ΔE_f (raw) = 0.453 eV/atom
# Symmetry = I4/mmm (139)
# Size of the total moment = 1.5 μB per formula unit
# Energy relative to the lowest polymorph listed for this composition = 0.710 eV per atom
data_Li2TcCl
_chemical_formula_sum 'Li4 Tc2 Cl2'
_symmetry_space_group_name_H-M 'P 1'
_symmetry_Int_Tables_number 1
_symmetry_space_group_name_Hall 'P 1'
_cell_length_a 3.6874
_cell_length_b 3.6874
_cell_length_c 8.7453
_cell_angle_alpha 90.00
_cell_angle_beta 90.00
_cell_angle_gamma 90.00
loop_
_atom_site_label
_atom_site_type_symbol
_atom_site_fract_x
_atom_site_fract_y
_atom_site_fract_z
Li1 Li 0.0000 0.5000 0.2500
Li2 Li 0.0000 0.5000 0.7500
Li3 Li 0.5000 0.0000 0.2500
Li4 Li 0.5000 0.0000 0.7500
Tc1 Tc 0.0000 0.0000 0.0000
Tc2 Tc 0.5000 0.5000 0.5000
Cl1 Cl 0.0000 0.0000 0.5000
Cl2 Cl 0.5000 0.5000 0.0000

***

8.
# NaLiBeO2 | Alexandria | PBE | relaxed
# ΔE_f (raw) = -1.854 eV/atom
# Symmetry = P2/c (13)
# Size of the total moment = 0.0 μB per formula unit
data_NaLiBeO2
_chemical_formula_sum 'Na2 Li2 Be2 O4'
_symmetry_space_group_name_H-M 'P 1'
_symmetry_Int_Tables_number 1
_symmetry_space_group_name_Hall 'P 1'
_cell_length_a 5.2374
_cell_length_b 4.4103
_cell_length_c 5.3253
_cell_angle_alpha 90.00
_cell_angle_beta 95.92
_cell_angle_gamma 90.00
loop_
_atom_site_label
_atom_site_type_symbol
_atom_site_fract_x
_atom_site_fract_y
_atom_site_fract_z
Na1 Na 0.0000 0.1837 0.2500
Na2 Na 0.0000 0.8163 0.7500
Li1 Li 0.5000 0.4921 0.7500
Li2 Li 0.5000 0.5079 0.2500
Be1 Be 0.5000 0.0000 0.0000
Be2 Be 0.5000 0.0000 0.5000
O1 O 0.3125 0.2399 0.9811
O2 O 0.3125 0.7601 0.4811
O3 O 0.6875 0.2399 0.5189
O4 O 0.6875 0.7601 0.0189

***

9.
# TaCoGe3 | Alexandria | PBE | relaxed
# Symmetry = Pm-3m (221)
# Energy relative to the elements = 0.7524 eV per atom
# Size of the total moment = 1.4 μB per formula unit
data_TaCoGe3
_chemical_formula_sum 'Ta1 Co1 Ge3'
_symmetry_space_group_name_H-M 'P 1'
_symmetry_Int_Tables_number 1
_symmetry_space_group_name_Hall 'P 1'
_cell_length_a 4.4854
_cell_length_b 4.4854
_cell_length_c 4.4854
_cell_angle_alpha 90.00
_cell_angle_beta 90.00
_cell_angle_gamma 90.00
loop_
_atom_site_label
_atom_site_type_symbol
_atom_site_fract_x
_atom_site_fract_y
_atom_site_fract_z
Ta1 Ta 0.0000 0.0000 0.0000
Co1 Co 0.5000 0.5000 0.5000
Ge1 Ge 0.0000 0.5000 0.5000
Ge2 Ge 0.5000 0.0000 0.5000
Ge3 Ge 0.5000 0.5000 0.0000

***

10.
# YPuCuAg | Alexandria | PBE | relaxed
# Symmetry = F-43m (216)
# Energy relative to the elements = -0.0105 eV per atom
# Size of the total moment = 5.7 μB per formula unit
data_YPuCuAg
_chemical_formula_sum 'Y4 Pu4 Cu4 Ag4'
_symmetry_space_group_name_H-M 'P 1'
_symmetry_Int_Tables_number 1
_symmetry_space_group_name_Hall 'P 1'
_cell_length_a 7.1830
_cell_length_b 7.1830
_cell_length_c 7.1830
_cell_angle_alpha 90.00
_cell_angle_beta 90.00
_cell_angle_gamma 90.00
loop_
_atom_site_label
_atom_site_type_symbol
_atom_site_fract_x
_atom_site_fract_y
_atom_site_fract_z
Y1 Y 0.0000 0.0000 0.0000
Y2 Y 0.0000 0.5000 0.5000
Y3 Y 0.5000 0.0000 0.5000
Y4 Y 0.5000 0.5000 0.0000
Pu1 Pu 0.0000 0.0000 0.5000
Pu2 Pu 0.0000 0.5000 0.0000
Pu3 Pu 0.5000 0.0000 0.0000
Pu4 Pu 0.5000 0.5000 0.5000
Cu1 Cu 0.2500 0.2500 0.7500
Cu2 Cu 0.2500 0.7500 0.2500
Cu3 Cu 0.7500 0.2500 0.2500
Cu4 Cu 0.7500 0.7500 0.7500
Ag1 Ag 0.2500 0.2500 0.2500
Ag2 Ag 0.2500 0.7500 0.7500
Ag3 Ag 0.7500 0.2500 0.7500
Ag4 Ag 0.7500 0.7500 0.2500

***

11.
# LiPmNiSb | Alexandria | PBE | relaxed
# ΔE_f (raw) = -0.520 eV/atom
# Symmetry = F-43m (216)
# Size of the total moment = 0.0 μB per formula unit
data_LiPmNiSb
_chemical_formula_sum 'Li4 Pm4 Ni4 Sb4'
_symmetry_space_group_name_H-M 'P 1'
_symmetry_Int_Tables_number 1
_symmetry_space_group_name_Hall 'P 1'
_cell_length_a 6.6686
_cell_length_b 6.6686
_cell_length_c 6.6686
_cell_angle_alpha 90.00
_cell_angle_beta 90.00
_cell_angle_gamma 90.00
loop_
_atom_site_label
_atom_site_type_symbol
_atom_site_fract_x
_atom_site_fract_y
_atom_site_fract_z
Li1 Li 0.0000 0.0000 0.0000
Li2 Li 0.0000 0.5000 0.5000
Li3 Li 0.5000 0.0000 0.5000
Li4 Li 0.5000 0.5000 0.0000
Pm1 Pm 0.2500 0.2500 0.7500
Pm2 Pm 0.2500 0.7500 0.2500
Pm3 Pm 0.7500 0.2500 0.2500
Pm4 Pm 0.7500 0.7500 0.7500
Ni1 Ni 0.0000 0.0000 0.5000
Ni2 Ni 0.0000 0.5000 0.0000
Ni3 Ni 0.5000 0.0000 0.0000
Ni4 Ni 0.5000 0.5000 0.5000
Sb1 Sb 0.2500 0.2500 0.2500
Sb2 Sb 0.2500 0.7500 0.7500
Sb3 Sb 0.7500 0.2500 0.7500
Sb4 Sb 0.7500 0.7500 0.2500

***

12.
# MnAl2Pb | Alexandria | PBE | relaxed
# Symmetry = P2/m (10)
# Energy relative to the elements = 0.3302 eV per atom
# Size of the total moment = 3.7 μB per formula unit
data_MnAl2Pb
_chemical_formula_sum 'Mn1 Al2 Pb1'
_symmetry_space_group_name_H-M 'P 1'
_symmetry_Int_Tables_number 1
_symmetry_space_group_name_Hall 'P 1'
_cell_length_a 4.9758
_cell_length_b 3.1504
_cell_length_c 5.2724
_cell_angle_alpha 90.00
_cell_angle_beta 110.15
_cell_angle_gamma 90.00
loop_
_atom_site_label
_atom_site_type_symbol
_atom_site_fract_x
_atom_site_fract_y
_atom_site_fract_z
Mn1 Mn 0.0000 0.0000 0.0000
Al1 Al 0.0000 0.5000 0.5000
Al2 Al 0.5000 0.0000 0.5000
Pb1 Pb 0.5000 0.5000 0.0000

***

13.
# Mg4PbAu | Alexandria | PBE | relaxed
# Symmetry = Pnma (62)
# Energy relative to the elements = -0.2994 eV per atom
# Size of the total moment = 0.0 μB per formula unit
# Energy relative to the lowest polymorph listed for this composition = 0.000 eV per atom
data_Mg4PbAu
_chemical_formula_sum 'Mg16 Pb4 Au4'
_symmetry_space_group_name_H-M 'P 1'
_symmetry_Int_Tables_number 1
_symmetry_space_group_name_Hall 'P 1'
_cell_length_a 7.9515
_cell_length_b 3.6234
_cell_length_c 18.6020
_cell_angle_alpha 90.00
_cell_angle_beta 90.00
_cell_angle_gamma 90.00
loop_
_atom_site_label
_atom_site_type_symbol
_atom_site_fract_x
_atom_site_fract_y
_atom_site_fract_z
Mg1 Mg 0.0171 0.2500 0.0632
Mg2 Mg 0.0716 0.2500 0.8035
Mg3 Mg 0.1169 0.2500 0.3489
Mg4 Mg 0.1243 0.2500 0.5460
Mg5 Mg 0.3757 0.7500 0.0460
Mg6 Mg 0.3831 0.7500 0.8489
Mg7 Mg 0.4284 0.7500 0.3035
Mg8 Mg 0.4829 0.7500 0.5632
Mg9 Mg 0.5171 0.2500 0.4368
Mg10 Mg 0.5716 0.2500 0.6965
Mg11 Mg 0.6169 0.2500 0.1511
Mg12 Mg 0.6243 0.2500 0.9540
Mg13 Mg 0.8757 0.7500 0.4540
Mg14 Mg 0.8831 0.7500 0.6511
Mg15 Mg 0.9284 0.7500 0.1965
Mg16 Mg 0.9829 0.7500 0.9368
Pb1 Pb 0.2480 0.7500 0.6891
Pb2 Pb 0.2520 0.2500 0.1891
Pb3 Pb 0.7480 0.7500 0.8109
Pb4 Pb 0.7520 0.2500 0.3109
Au1 Au 0.2490 0.2500 0.9439
Au2 Au 0.2510 0.7500 0.4439
Au3 Au 0.7490 0.2500 0.5561
Au4 Au 0.7510 0.7500 0.0561